K12As5I3 | GGA-PBE | optimized geometry

abc: 17.4419 17.4419 17.4419
angles: 109.47 109.47 109.47
With the nearest neighbours (Å) after each atom.
Element x y z (fractional)
K 0.9198 0.8266 0.5367  2 As 3.16-3.25
As 0.1250 0.7500 0.3750  4 K 3.16
K 0.8266 0.9198 0.0367  2 As 3.16-3.25
K 0.5933 0.7101 0.6734  2 As 3.16-3.25
I 0.2500 0.1250 0.3750  8 K 3.79-3.96
K 0.6168 0.0367 0.2101  2 As 3.16-3.25
I 0.3750 0.6250 0.2500  8 K 3.79-3.96
K 0.6168 0.5802 0.9067  2 As 3.16-3.25
K 0.0367 0.4198 0.8266  2 As 3.16-3.25
K 0.5933 0.8832 0.4198  2 As 3.16-3.25
I 0.1250 0.8750 0.7500  8 K 3.79-3.96
K 0.4067 0.2899 0.3266  2 As 3.16-3.25
K 0.1734 0.0802 0.9633  2 As 3.16-3.25
K 0.4633 0.7899 0.8832  2 As 3.16-3.25
K 0.1168 0.7101 0.5367  2 As 3.16-3.25
K 0.2899 0.4067 0.8266  2 As 3.16-3.25
I 0.6250 0.2500 0.3750  8 K 3.79-3.96
K 0.5367 0.3266 0.9198  2 As 3.16-3.25
K 0.4198 0.0367 0.3266  2 As 3.16-3.25
K 0.8266 0.9067 0.2899  2 As 3.16-3.25
K 0.2101 0.6734 0.0933  2 As 3.16-3.25
K 0.3832 0.9633 0.7899  2 As 3.16-3.25
As 0.7500 0.1250 0.8750  4 K 3.16
K 0.2101 0.5367 0.6168  2 As 3.16-3.25
K 0.0802 0.1734 0.4633  2 As 3.16-3.25
As 0.0000 0.5000 0.0000  6 K 3.25
As 0.3750 0.2500 0.1250  4 K 3.16
As 0.5000 0.0000 0.5000  6 K 3.25
K 0.3266 0.7899 0.4067  2 As 3.16-3.25
I 0.8750 0.1250 0.2500  8 K 3.79-3.96
K 0.9633 0.3832 0.2899  2 As 3.16-3.25
As 0.7500 0.6250 0.3750  4 K 3.16
K 0.1168 0.4067 0.0802  2 As 3.16-3.25
As 0.1250 0.3750 0.2500  4 K 3.16
K 0.8832 0.2899 0.4633  2 As 3.16-3.25
K 0.9067 0.8266 0.7899  2 As 3.16-3.25
K 0.2899 0.8832 0.9633  2 As 3.16-3.25
As 0.8750 0.6250 0.7500  4 K 3.16
As 0.6250 0.7500 0.8750  4 K 3.16
I 0.2500 0.6250 0.8750  8 K 3.79-3.96
I 0.3750 0.7500 0.6250  8 K 3.79-3.96
As 0.5000 0.0000 0.0000  6 K 3.25
K 0.1734 0.0933 0.7101  2 As 3.16-3.25
As 0.0000 0.0000 0.5000  6 K 3.25
K 0.0367 0.6168 0.7101  2 As 3.16-3.25
K 0.6734 0.4633 0.5802  2 As 3.16-3.25
I 0.8750 0.7500 0.1250  8 K 3.79-3.96
K 0.4067 0.1168 0.5802  2 As 3.16-3.25
As 0.0000 0.5000 0.5000  6 K 3.25
K 0.9633 0.5802 0.1734  2 As 3.16-3.25
K 0.0802 0.9067 0.1168  2 As 3.16-3.25
K 0.7899 0.3266 0.9067  2 As 3.16-3.25
K 0.4198 0.3832 0.5933  2 As 3.16-3.25
K 0.9067 0.0802 0.6168  2 As 3.16-3.25
K 0.5367 0.2101 0.1168  2 As 3.16-3.25
K 0.3832 0.4198 0.0933  2 As 3.16-3.25
K 0.5802 0.9633 0.6734  2 As 3.16-3.25
I 0.7500 0.3750 0.1250  8 K 3.79-3.96
K 0.4633 0.6734 0.0802  2 As 3.16-3.25
As 0.8750 0.2500 0.6250  4 K 3.16
As 0.0000 0.0000 0.0000  6 K 3.25
K 0.8832 0.5933 0.9198  2 As 3.16-3.25
K 0.7101 0.5933 0.1734  2 As 3.16-3.25
K 0.7899 0.4633 0.3832  2 As 3.16-3.25
As 0.5000 0.5000 0.0000  6 K 3.25
As 0.2500 0.3750 0.6250  4 K 3.16
As 0.2500 0.8750 0.1250  4 K 3.16
I 0.6250 0.3750 0.7500  8 K 3.79-3.96
K 0.5802 0.6168 0.4067  2 As 3.16-3.25
As 0.5000 0.5000 0.5000  6 K 3.25
I 0.1250 0.2500 0.8750  8 K 3.79-3.96
K 0.0933 0.1734 0.2101  2 As 3.16-3.25
As 0.3750 0.1250 0.7500  4 K 3.16
K 0.6734 0.2101 0.5933  2 As 3.16-3.25
K 0.9198 0.0933 0.8832  2 As 3.16-3.25
I 0.7500 0.8750 0.6250  8 K 3.79-3.96
K 0.3266 0.5367 0.4198  2 As 3.16-3.25
K 0.7101 0.1168 0.0367  2 As 3.16-3.25
K 0.0933 0.9198 0.3832  2 As 3.16-3.25
As 0.6250 0.8750 0.2500  4 K 3.16

Results
* volume: 4084.71 Å³/cell
* magnetic moment: 0.300 μB per atom
* uncorrected energy: -2.451 eV/atom
* symmetry: Ia-3d